[1]
The following is a PBE calculation of a relaxed structure of Zr2Au, from Alexandria via LeMat-Bulk.

Properties
volume: 20.73 A^3/atom
crystal system: orthorhombic
space group: Cmcm, No. 63

a b c (Å): 7.176 7.176 4.305
angles (deg): 90.00 90.00 145.87
Positions (direct):
Zr (0.076, 0.924, 0.750)
Zr (0.245, 0.755, 0.250)
Zr (0.755, 0.245, 0.750)
Zr (0.924, 0.076, 0.250)
Au (0.419, 0.581, 0.750)
Au (0.581, 0.419, 0.250)



[2]
The following is a PBE calculation of a relaxed structure of Zr3Au4, from Alexandria via LeMat-Bulk.

Properties
volume: 19.83 A^3/atom
crystal system: tetragonal
space group: I4/mmm, No. 139

a b c (Å): 11.127 11.127 11.127
angles (deg): 161.49 161.49 26.29
Positions (direct):
Zr (0.000, 0.000, 0.000)
Zr (0.294, 0.294, 0.000)
Zr (0.706, 0.706, 0.000)
Au (0.140, 0.140, 0.000)
Au (0.432, 0.432, 0.000)
Au (0.568, 0.568, 0.000)
Au (0.860, 0.860, 0.000)



[3]
The following is a PBE calculation of a relaxed structure of ZrAu, from Alexandria via LeMat-Bulk.

Properties
volume: 21.60 A^3/atom
crystal system: tetragonal
space group: P4/m, No. 83

a b c (Å): 10.747 10.747 2.993
angles (deg): 90.00 90.00 90.00
Positions (direct):
Zr (0.079, 0.392, 0.000)
Zr (0.197, 0.666, 0.500)
Zr (0.334, 0.197, 0.500)
Zr (0.392, 0.921, 0.000)
Zr (0.608, 0.079, 0.000)
Zr (0.666, 0.803, 0.500)
Zr (0.803, 0.334, 0.500)
Zr (0.921, 0.608, 0.000)
Au (0.048, 0.175, 0.500)
Au (0.175, 0.952, 0.500)
Au (0.325, 0.446, 0.000)
Au (0.446, 0.675, 0.000)
Au (0.554, 0.325, 0.000)
Au (0.675, 0.554, 0.000)
Au (0.825, 0.048, 0.500)
Au (0.952, 0.825, 0.500)



[4]
The following is a PBE calculation of a relaxed structure of ZrAu3, from Alexandria via LeMat-Bulk.

Properties
volume: 19.15 A^3/atom
crystal system: tetragonal
space group: P4/mmm, No. 123

a b c (Å): 3.490 3.490 6.288
angles (deg): 90.00 90.00 90.00
Positions (direct):
Zr (0.000, 0.000, 0.000)
Au (0.000, 0.000, 0.500)
Au (0.500, 0.500, 0.254)
Au (0.500, 0.500, 0.746)



no.,DFT formation energy (eV/atom)
1,-0.324
2,-0.558
3,-0.153
4,-0.368